No. 1
Ti2CoSe5 | PBE-GGA | relaxed

## Properties
total moment = 0.00 μB per formula unit
ρ = 5.17 Mg/m³
E_form (uncorrected) = -0.72 eV per atom
space group = Cmcm
E = -5.76 eV per atom

a = 6.740 Å, b = 6.740 Å, c = 11.265 Å
α = 90.00°, β = 90.00°, γ = 136.42°
Element x y z (fractional)
Ti1 0.171 0.829 0.541
Ti2 0.171 0.829 0.959
Ti3 0.829 0.171 0.041
Ti4 0.829 0.171 0.459
Co1 0.190 0.810 0.250
Co2 0.810 0.190 0.750
Se1 0.042 0.958 0.118
Se2 0.042 0.958 0.382
Se3 0.265 0.735 0.750
Se4 0.329 0.671 0.095
Se5 0.329 0.671 0.405
Se6 0.671 0.329 0.595
Se7 0.671 0.329 0.905
Se8 0.735 0.265 0.250
Se9 0.958 0.042 0.618
Se10 0.958 0.042 0.882


No. 2
Zn2CoCl | PBE-GGA | relaxed

## Properties
total moment = 1.48 μB per formula unit
ρ = 5.52 Mg/m³
E_form (uncorrected) = 0.30 eV per atom
space group = I-42d
E = -2.58 eV per atom

a = 5.700 Å, b = 5.700 Å, c = 5.700 Å
α = 102.73°, β = 102.73°, γ = 124.02°
Element x y z (fractional)
Zn1 0.106 0.625 0.981
Zn2 0.375 0.356 0.481
Zn3 0.644 0.125 0.019
Zn4 0.875 0.894 0.519
Co1 0.000 0.000 0.000
Co2 0.750 0.250 0.500
Cl1 0.250 0.750 0.500
Cl2 0.500 0.500 0.000


No. 3
SiTcPt2 | PBE-GGA | relaxed

## Properties
total moment = 0.00 μB per formula unit
ρ = 14.63 Mg/m³
E_form (uncorrected) = -0.26 eV per atom
space group = Immm
E = -7.22 eV per atom

a = 5.126 Å, b = 5.126 Å, c = 5.126 Å
α = 144.36°, β = 130.98°, γ = 62.06°
Element x y z (fractional)
Si1 0.000 0.000 0.000
Tc1 0.500 0.500 0.000
Pt1 0.216 0.716 0.500
Pt2 0.784 0.284 0.500


No. 4
GaNO2F | PBE-GGA | relaxed

## Properties
total moment = 1.00 μB per formula unit
ρ = 3.83 Mg/m³
E_form (uncorrected) = 0.27 eV per atom
space group = P4/mmm
E = -4.35 eV per atom

a = 3.891 Å, b = 3.891 Å, c = 3.860 Å
α = 90.00°, β = 90.00°, γ = 90.00°
Element x y z (fractional)
Ga1 0.000 0.000 0.000
N1 0.500 0.500 0.500
O1 0.000 0.500 0.000
O2 0.500 0.000 0.000
F1 0.000 0.000 0.500


No. 5
CdAgRh2 | PBE-GGA | relaxed

## Properties
total moment = 0.00 μB per formula unit
ρ = 10.79 Mg/m³
space group = Cm
E = -4.52 eV per atom
DFT formation energy = 93 meV per atom

a = 4.863 Å, b = 4.863 Å, c = 5.004 Å
α = 99.95°, β = 99.95°, γ = 34.29°
Element x y z (fractional)
Cd1 0.000 0.000 0.000
Ag1 0.757 0.757 0.235
Rh1 0.247 0.247 0.712
Rh2 0.510 0.510 0.519


No. 6
Ta2TiAs2 | PBE-GGA | relaxed

## Properties
total moment = 0.00 μB per formula unit
ρ = 11.05 Mg/m³
space group = P4/mbm
E = -8.58 eV per atom
DFT formation energy = -397 meV per atom

a = 6.966 Å, b = 6.966 Å, c = 3.465 Å
α = 90.00°, β = 90.00°, γ = 90.00°
Element x y z (fractional)
Ta1 0.149 0.351 0.000
Ta2 0.351 0.851 0.000
Ta3 0.649 0.149 0.000
Ta4 0.851 0.649 0.000
Ti1 0.000 0.000 0.500
Ti2 0.500 0.500 0.500
As1 0.150 0.650 0.500
As2 0.350 0.150 0.500
As3 0.650 0.850 0.500
As4 0.850 0.350 0.500


No. 7
BaBeI2O | PBE-GGA | relaxed

## Properties
total moment = 0.00 μB per formula unit
ρ = 5.35 Mg/m³
E_form (uncorrected) = -1.16 eV per atom
space group = P4/mmm
E = -3.90 eV per atom

a = 6.191 Å, b = 6.191 Å, c = 3.373 Å
α = 90.00°, β = 90.00°, γ = 90.00°
Element x y z (fractional)
Ba1 0.000 0.000 0.000
Be1 0.500 0.500 0.500
I1 0.000 0.500 0.500
I2 0.500 0.000 0.500
O1 0.500 0.500 0.000


No. 8
NaHf | PBE-GGA | relaxed

## Properties
total moment = 0.00 μB per formula unit
ρ = 6.64 Mg/m³
space group = P6_3mc
E = -5.05 eV per atom
DFT formation energy = 582 meV per atom

a = 3.036 Å, b = 3.036 Å, c = 12.632 Å
α = 90.00°, β = 90.00°, γ = 120.00°
Element x y z (fractional)
Na1 0.333 0.667 0.000
Na2 0.667 0.333 0.500
Hf1 0.333 0.667 0.257
Hf2 0.667 0.333 0.757


No. 9
Pr2HgPt | PBE-GGA | relaxed

## Properties
total moment = 0.00 μB per formula unit
ρ = 10.65 Mg/m³
space group = Pmma
E = -4.72 eV per atom
DFT formation energy = -742 meV per atom

a = 7.424 Å, b = 3.725 Å, c = 7.642 Å
α = 90.00°, β = 90.00°, γ = 90.00°
Element x y z (fractional)
Pr1 0.006 0.000 0.227
Pr2 0.494 0.000 0.227
Pr3 0.506 0.000 0.773
Pr4 0.994 0.000 0.773
Hg1 0.250 0.500 0.512
Hg2 0.750 0.500 0.488
Pt1 0.250 0.500 0.973
Pt2 0.750 0.500 0.027


No. 10
U6SiOs2 | PBE-GGA | relaxed

## Properties
total moment = 0.00 μB per formula unit
ρ = 18.88 Mg/m³
E_form (uncorrected) = -0.11 eV per atom
space group = P-3m1
E = -10.73 eV per atom

a = 8.188 Å, b = 8.188 Å, c = 2.782 Å
α = 90.00°, β = 90.00°, γ = 120.00°
Element x y z (fractional)
U1 0.000 0.332 0.000
U2 0.000 0.668 0.000
U3 0.332 0.000 0.000
U4 0.332 0.332 0.000
U5 0.668 0.000 0.000
U6 0.668 0.668 0.000
Si1 0.000 0.000 0.500
Os1 0.333 0.667 0.647
Os2 0.667 0.333 0.353


No. 11
K3Ba3IrO8 | PBE-GGA | relaxed

## Properties
total moment = 2.37 μB per formula unit
ρ = 4.49 Mg/m³
E_form (uncorrected) = -1.67 eV per atom
space group = R-3m
E = -5.50 eV per atom

a = 7.681 Å, b = 7.681 Å, c = 7.681 Å
α = 59.15°, β = 59.15°, γ = 59.15°
Element x y z (fractional)
K1 0.000 0.500 0.500
K2 0.500 0.000 0.500
K3 0.500 0.500 0.000
Ba1 0.000 0.000 0.500
Ba2 0.000 0.500 0.000
Ba3 0.500 0.000 0.000
Ir1 0.500 0.500 0.500
O1 0.240 0.240 0.240
O2 0.311 0.682 0.682
O3 0.318 0.318 0.689
O4 0.318 0.689 0.318
O5 0.682 0.311 0.682
O6 0.682 0.682 0.311
O7 0.689 0.318 0.318
O8 0.760 0.760 0.760


No. 12
KPtAu | PBE-GGA | relaxed

## Properties
total moment = 0.00 μB per formula unit
ρ = 9.07 Mg/m³
space group = I4mm
E = -3.50 eV per atom
DFT formation energy = -29 meV per atom

a = 6.302 Å, b = 6.302 Å, c = 6.302 Å
α = 145.76°, β = 145.76°, γ = 49.21°
Element x y z (fractional)
K1 0.000 0.000 0.000
Pt1 0.730 0.730 0.000
Au1 0.271 0.271 0.000


No. 13
Zr2CoAu | PBE-GGA | relaxed

## Properties
total moment = 0.00 μB per formula unit
ρ = 9.90 Mg/m³
space group = Imm2
E = -7.10 eV per atom
DFT formation energy = -232 meV per atom

a = 5.666 Å, b = 5.666 Å, c = 5.666 Å
α = 146.20°, β = 132.89°, γ = 59.23°
Element x y z (fractional)
Zr1 0.000 0.000 0.000
Zr2 0.717 0.217 0.500
Co1 0.509 0.509 0.000
Au1 0.286 0.786 0.500


No. 14
PaZnCuPt | PBE-GGA | relaxed

## Properties
total moment = 0.00 μB per formula unit
ρ = 12.62 Mg/m³
space group = F-43m
E = -5.63 eV per atom
DFT formation energy = -402 meV per atom

a = 4.692 Å, b = 4.692 Å, c = 4.692 Å
α = 60.00°, β = 60.00°, γ = 60.00°
Element x y z (fractional)
Pa1 0.000 0.000 0.000
Zn1 0.500 0.500 0.500
Cu1 0.750 0.750 0.750
Pt1 0.250 0.250 0.250


No. 15
Pm2CuGe2Rh5 | PBE-GGA | relaxed

## Properties
total moment = 0.00 μB per formula unit
ρ = 9.72 Mg/m³
space group = P4/mbm
E = -6.56 eV per atom
DFT formation energy = -606 meV per atom

a = 9.856 Å, b = 9.856 Å, c = 3.565 Å
α = 90.00°, β = 90.00°, γ = 90.00°
Element x y z (fractional)
Pm1 0.174 0.326 0.000
Pm2 0.326 0.826 0.000
Pm3 0.674 0.174 0.000
Pm4 0.826 0.674 0.000
Cu1 0.000 0.000 0.000
Cu2 0.500 0.500 0.000
Ge1 0.126 0.626 0.000
Ge2 0.374 0.126 0.000
Ge3 0.626 0.874 0.000
Ge4 0.874 0.374 0.000
Rh1 0.000 0.500 0.500
Rh2 0.064 0.795 0.500
Rh3 0.205 0.064 0.500
Rh4 0.295 0.564 0.500
Rh5 0.436 0.295 0.500
Rh6 0.500 0.000 0.500
Rh7 0.564 0.705 0.500
Rh8 0.705 0.436 0.500
Rh9 0.795 0.936 0.500
Rh10 0.936 0.205 0.500


No. 16
Be3CuH | PBE-GGA | relaxed

## Properties
total moment = 0.00 μB per formula unit
ρ = 4.01 Mg/m³
space group = Pm-3m
E = -3.57 eV per atom

a = 3.360 Å, b = 3.360 Å, c = 3.360 Å
α = 90.00°, β = 90.00°, γ = 90.00°
Element x y z (fractional)
Be1 0.000 0.000 0.500
Be2 0.000 0.500 0.000
Be3 0.500 0.000 0.000
Cu1 0.500 0.500 0.500
H1 0.000 0.000 0.000


No. 17
La6PrDy | PBE-GGA | relaxed

## Properties
total moment = 0.00 μB per formula unit
ρ = 6.60 Mg/m³
space group = P4/mmm
E = -4.86 eV per atom
DFT formation energy = 7 meV per atom

a = 5.229 Å, b = 5.229 Å, c = 10.469 Å
α = 90.00°, β = 90.00°, γ = 90.00°
Element x y z (fractional)
La1 0.000 0.000 0.000
La2 0.000 0.000 0.500
La3 0.000 0.500 0.248
La4 0.000 0.500 0.752
La5 0.500 0.000 0.248
La6 0.500 0.000 0.752
Pr1 0.500 0.500 0.500
Dy1 0.500 0.500 0.000


No. 18
Pm2DyBr8 | PBE-GGA | relaxed

## Properties
total moment = 0.93 μB per formula unit
ρ = 3.70 Mg/m³
E_form (uncorrected) = -1.67 eV per atom
space group = C2/m
E = -4.17 eV per atom

a = 10.152 Å, b = 10.152 Å, c = 6.880 Å
α = 98.21°, β = 98.21°, γ = 44.33°
Element x y z (fractional)
Pm1 0.147 0.147 0.449
Pm2 0.853 0.853 0.551
Dy1 0.000 0.000 0.000
Br1 0.136 0.136 0.857
Br2 0.207 0.683 0.728
Br3 0.286 0.286 0.383
Br4 0.317 0.793 0.272
Br5 0.683 0.207 0.728
Br6 0.714 0.714 0.617
Br7 0.793 0.317 0.272
Br8 0.864 0.864 0.143


No. 19
NaTl2In2 | PBE-GGA | relaxed

## Properties
total moment = 0.00 μB per formula unit
ρ = 7.29 Mg/m³
space group = P4/mbm
E = -2.32 eV per atom
DFT formation energy = -13 meV per atom

a = 8.724 Å, b = 8.724 Å, c = 3.961 Å
α = 90.00°, β = 90.00°, γ = 90.00°
Element x y z (fractional)
Na1 0.000 0.000 0.000
Na2 0.500 0.500 0.000
Tl1 0.172 0.328 0.500
Tl2 0.328 0.828 0.500
Tl3 0.672 0.172 0.500
Tl4 0.828 0.672 0.500
In1 0.128 0.628 0.000
In2 0.372 0.128 0.000
In3 0.628 0.872 0.000
In4 0.872 0.372 0.000


No. 20
Pm2ErAg2 | PBE-GGA | relaxed

## Properties
total moment = 0.00 μB per formula unit
ρ = 7.60 Mg/m³
space group = P2_1/m
E = -4.03 eV per atom
DFT formation energy = -79 meV per atom

a = 5.808 Å, b = 4.710 Å, c = 10.834 Å
α = 90.00°, β = 96.86°, γ = 90.00°
Element x y z (fractional)
Pm1 0.108 0.250 0.378
Pm2 0.254 0.250 0.047
Pm3 0.746 0.750 0.953
Pm4 0.892 0.750 0.622
Er1 0.410 0.250 0.715
Er2 0.590 0.750 0.285
Ag1 0.233 0.750 0.856
Ag2 0.370 0.750 0.532
Ag3 0.630 0.250 0.468
Ag4 0.767 0.250 0.144